{"formula": "Ca3IO", "functional": "PBE", "state": "optimized geometry", "lattice_angstrom": [[-1.430, 0.378, 4.830], [-4.831, -0.492, -1.392], [0.366, -5.013, 0.501]], "species": ["O", "Ca", "Ca", "Ca", "I"], "frac_coords": [[0.000, 0.000, 0.000], [0.000, 0.000, 0.500], [0.500, 0.000, 0.000], [0.000, 0.500, 0.000], [0.500, 0.500, 0.500]], "space_group": "Pm-3m", "polymorph_energy_mev_per_atom": 0, "energy_ev_per_cell": -18.2, "raw_formation_energy_mev_per_atom": -1130}